! Sn2MoRu, optimized geometry, DFT GGA-PBE; values from VASP
! energy above the lowest structure with this stoichiometry = 491.4 meV/atom
! energy of formation = 0.700 eV/atom
! density of states at the Fermi level = 3.6 states/eV/f.u.
&SYSTEM
  ibrav = 0, nat = 8, ntyp = 3
/
ATOMIC_SPECIES
Ru 101.07 Ru.upf
Mo 95.94 Mo.upf
Sn 118.71 Sn.upf
ATOMIC_POSITIONS crystal
Ru 0.000 0.000 0.000
Ru 0.750 0.250 0.500
Mo 0.500 0.500 0.000
Mo 0.250 0.750 0.500
Sn 0.644 0.125 0.250
Sn 0.106 0.625 0.250
Sn 0.375 0.356 0.750
Sn 0.875 0.894 0.750
CELL_PARAMETERS angstrom
-4.672 -3.301 4.739
5.141 0.400 5.347
-0.799 1.159 5.842

! SnMoRu, optimized geometry, DFT GGA-PBE; values from VASP
! energy of formation = 0.068 eV/atom
! density of states at the Fermi level = 1.8 states/eV/f.u.
&SYSTEM
  ibrav = 0, nat = 3, ntyp = 3
/
ATOMIC_SPECIES
Ru 101.07 Ru.upf
Mo 95.94 Mo.upf
Sn 118.71 Sn.upf
ATOMIC_POSITIONS crystal
Ru 0.659 0.659 0.318
Mo 0.013 0.013 0.025
Sn 0.328 0.328 0.657
CELL_PARAMETERS angstrom
-1.700 1.981 1.447
-0.503 -2.004 2.154
5.627 1.865 0.981

! SnMo2Ru2, optimized geometry, DFT GGA-PBE; values from VASP
! energy of formation = 0.154 eV/atom
! density of states at the Fermi level = 5.0 states/eV/f.u.
&SYSTEM
  ibrav = 0, nat = 10, ntyp = 3
/
ATOMIC_SPECIES
Ru 101.07 Ru.upf
Mo 95.94 Mo.upf
Sn 118.71 Sn.upf
ATOMIC_POSITIONS crystal
Ru 0.370 0.870 0.000
Ru 0.870 0.630 0.000
Ru 0.630 0.130 0.000
Ru 0.130 0.370 0.000
Mo 0.159 0.659 0.500
Mo 0.659 0.841 0.500
Mo 0.841 0.341 0.500
Mo 0.341 0.159 0.500
Sn 0.000 0.000 0.000
Sn 0.500 0.500 0.000
CELL_PARAMETERS angstrom
7.583 0.000 0.000
0.000 7.583 0.000
0.000 0.000 2.900

! Sn2MoRu, optimized geometry, DFT GGA-PBE; values from VASP
! energy above the lowest structure with this stoichiometry = 0.0 meV/atom
! energy of formation = 0.209 eV/atom
! density of states at the Fermi level = 6.0 states/eV/f.u.
&SYSTEM
  ibrav = 0, nat = 4, ntyp = 3
/
ATOMIC_SPECIES
Ru 101.07 Ru.upf
Mo 95.94 Mo.upf
Sn 118.71 Sn.upf
ATOMIC_POSITIONS crystal
Ru 0.500 0.500 0.500
Mo 0.000 0.000 0.000
Sn 0.250 0.250 0.250
Sn 0.750 0.750 0.750
CELL_PARAMETERS angstrom
0.000 3.304 3.304
3.304 0.000 3.304
3.304 3.304 0.000

! SnMoRu3, optimized geometry, DFT GGA-PBE; values from VASP
! energy above the lowest structure with this stoichiometry = 0.0 meV/atom
! energy of formation = 1.346 eV/atom
! density of states at the Fermi level = 6.0 states/eV/f.u.
&SYSTEM
  ibrav = 0, nat = 5, ntyp = 3
/
ATOMIC_SPECIES
Ru 101.07 Ru.upf
Mo 95.94 Mo.upf
Sn 118.71 Sn.upf
ATOMIC_POSITIONS crystal
Ru 0.000 0.500 0.000
Ru 0.000 0.000 0.500
Ru 0.500 0.000 0.000
Mo 0.000 0.000 0.000
Sn 0.500 0.500 0.500
CELL_PARAMETERS angstrom
-1.222 4.534 0.741
-4.354 -1.388 1.310
1.466 -0.342 4.510

! SnMoRu3, optimized geometry, DFT GGA-PBE; values from VASP
! energy above the lowest structure with this stoichiometry = 824.6 meV/atom
! energy of formation = 2.170 eV/atom
! density of states at the Fermi level = 16.8 states/eV/f.u.
&SYSTEM
  ibrav = 0, nat = 5, ntyp = 3
/
ATOMIC_SPECIES
Ru 101.07 Ru.upf
Mo 95.94 Mo.upf
Sn 118.71 Sn.upf
ATOMIC_POSITIONS crystal
Ru 0.000 0.500 0.000
Ru 0.000 0.000 0.500
Ru 0.500 0.000 0.000
Mo 0.500 0.500 0.500
Sn 0.000 0.000 0.000
CELL_PARAMETERS angstrom
-4.233 1.904 0.858
-1.680 -4.256 1.160
1.242 0.735 4.495

! SnMoRu2, optimized geometry, DFT GGA-PBE; values from VASP
! energy of formation = 0.952 eV/atom
! density of states at the Fermi level = 1.4 states/eV/f.u.
&SYSTEM
  ibrav = 0, nat = 8, ntyp = 3
/
ATOMIC_SPECIES
Ru 101.07 Ru.upf
Mo 95.94 Mo.upf
Sn 118.71 Sn.upf
ATOMIC_POSITIONS crystal
Ru 0.596 0.125 0.250
Ru 0.154 0.625 0.250
Ru 0.375 0.404 0.750
Ru 0.875 0.846 0.750
Mo 0.500 0.500 0.000
Mo 0.250 0.750 0.500
Sn 0.000 0.000 0.000
Sn 0.750 0.250 0.500
CELL_PARAMETERS angstrom
6.123 0.000 0.000
0.000 6.123 0.000
3.061 3.061 4.932

! SnMoRu, optimized geometry, DFT GGA-PBE; values from VASP
! energy of formation = 0.238 eV/atom
! density of states at the Fermi level = 3.1 states/eV/f.u.
&SYSTEM
  ibrav = 0, nat = 6, ntyp = 3
/
ATOMIC_SPECIES
Mo 95.94 Mo.upf
Ru 101.07 Ru.upf
Sn 118.71 Sn.upf
ATOMIC_POSITIONS crystal
Mo 0.611 0.223 0.000
Mo 0.278 0.555 0.500
Ru 0.611 0.222 0.340
Ru 0.611 0.222 0.660
Sn 0.278 0.556 0.826
Sn 0.278 0.556 0.174
CELL_PARAMETERS angstrom
-0.790 2.780 -0.876
1.027 -1.988 -2.028
-12.061 -4.089 -2.101

! TcSnMoRu, optimized geometry, DFT GGA-PBE; values from VASP
! energy of formation = 0.072 eV/atom
! density of states at the Fermi level = 3.2 states/eV/f.u.
&SYSTEM
  ibrav = 0, nat = 4, ntyp = 4
/
ATOMIC_SPECIES
Ru 101.07 Ru.upf
Mo 95.94 Mo.upf
Sn 118.71 Sn.upf
Tc 98.00 Tc.upf
ATOMIC_POSITIONS crystal
Ru 0.500 0.500 0.500
Mo 0.250 0.250 0.250
Sn 0.750 0.750 0.750
Tc 0.000 0.000 0.000
CELL_PARAMETERS angstrom
4.487 0.000 0.000
2.244 3.886 0.000
2.244 1.295 3.664

! TiSnMoRu, optimized geometry, DFT GGA-PBE; values from VASP
! energy of formation = -0.177 eV/atom
! density of states at the Fermi level = 4.6 states/eV/f.u.
&SYSTEM
  ibrav = 0, nat = 4, ntyp = 4
/
ATOMIC_SPECIES
Ru 101.07 Ru.upf
Mo 95.94 Mo.upf
Sn 118.71 Sn.upf
Ti 47.87 Ti.upf
ATOMIC_POSITIONS crystal
Ru 0.750 0.750 0.750
Mo 0.250 0.250 0.250
Sn 0.500 0.500 0.500
Ti 0.000 0.000 0.000
CELL_PARAMETERS angstrom
4.522 0.000 0.000
2.261 3.916 0.000
2.261 1.305 3.692

! ZrSn2MoRu, optimized geometry, DFT GGA-PBE; values from VASP
! energy of formation = 1.456 eV/atom
! density of states at the Fermi level = 4.6 states/eV/f.u.
&SYSTEM
  ibrav = 0, nat = 5, ntyp = 4
/
ATOMIC_SPECIES
Ru 101.07 Ru.upf
Mo 95.94 Mo.upf
Sn 118.71 Sn.upf
Zr 91.22 Zr.upf
ATOMIC_POSITIONS crystal
Ru 0.000 0.500 0.000
Mo 0.500 0.500 0.500
Sn 0.000 0.000 0.500
Sn 0.500 0.000 0.000
Zr 0.000 0.000 0.000
CELL_PARAMETERS angstrom
5.448 0.000 0.000
0.000 4.788 0.000
0.000 0.000 5.448

! SrMoRu, optimized geometry, DFT GGA-PBE; values from VASP
! energy above the lowest structure with this stoichiometry = 44.6 meV/atom
! energy of formation = 0.507 eV/atom
! density of states at the Fermi level = 3.5 states/eV/f.u.
&SYSTEM
  ibrav = 0, nat = 3, ntyp = 3
/
ATOMIC_SPECIES
Mo 95.94 Mo.upf
Ru 101.07 Ru.upf
Sr 87.62 Sr.upf
ATOMIC_POSITIONS crystal
Mo 0.000 0.000 0.188
Ru 0.667 0.333 0.141
Sr 0.333 0.667 0.671
CELL_PARAMETERS angstrom
4.125 0.000 0.000
-2.063 3.573 0.000
0.000 0.000 5.156

! SrMoRu2, optimized geometry, DFT GGA-PBE; values from VASP
! energy above the lowest structure with this stoichiometry = 373.9 meV/atom
! energy of formation = 0.700 eV/atom
! density of states at the Fermi level = 4.6 states/eV/f.u.
&SYSTEM
  ibrav = 0, nat = 4, ntyp = 3
/
ATOMIC_SPECIES
Mo 95.94 Mo.upf
Ru 101.07 Ru.upf
Sr 87.62 Sr.upf
ATOMIC_POSITIONS crystal
Mo 0.209 0.709 0.500
Ru 0.008 0.008 0.000
Ru 0.784 0.284 0.500
Sr 0.499 0.499 0.000
CELL_PARAMETERS angstrom
-0.875 4.858 -3.036
-4.281 0.278 -3.897
1.753 -0.675 5.483

! SrMo2Ru, optimized geometry, DFT GGA-PBE; values from VASP
! energy above the lowest structure with this stoichiometry = 344.1 meV/atom
! energy of formation = 0.886 eV/atom
! density of states at the Fermi level = 5.9 states/eV/f.u.
&SYSTEM
  ibrav = 0, nat = 4, ntyp = 3
/
ATOMIC_SPECIES
Mo 95.94 Mo.upf
Ru 101.07 Ru.upf
Sr 87.62 Sr.upf
ATOMIC_POSITIONS crystal
Mo 0.987 0.987 0.987
Mo 0.513 0.513 0.513
Ru 0.250 0.250 0.250
Sr 0.750 0.750 0.750
CELL_PARAMETERS angstrom
10.373 0.017 0.010
9.969 2.867 0.010
9.969 1.413 2.495

! SrMo2Ru, optimized geometry, DFT GGA-PBE; values from VASP
! energy above the lowest structure with this stoichiometry = 570.6 meV/atom
! energy of formation = 1.113 eV/atom
! density of states at the Fermi level = 5.4 states/eV/f.u.
&SYSTEM
  ibrav = 0, nat = 8, ntyp = 3
/
ATOMIC_SPECIES
Ru 101.07 Ru.upf
Mo 95.94 Mo.upf
Sr 87.62 Sr.upf
ATOMIC_POSITIONS crystal
Ru 0.000 0.000 0.000
Ru 0.750 0.250 0.500
Mo 0.856 0.125 0.250
Mo 0.894 0.625 0.250
Mo 0.375 0.144 0.750
Mo 0.875 0.106 0.750
Sr 0.500 0.500 0.000
Sr 0.250 0.750 0.500
CELL_PARAMETERS angstrom
-2.843 3.222 -2.325
-2.681 -3.666 -1.802
-8.004 0.185 4.909

! SrMoRu, optimized geometry, DFT GGA-PBE; values from VASP
! energy above the lowest structure with this stoichiometry = 0.0 meV/atom
! energy of formation = 0.462 eV/atom
! density of states at the Fermi level = 3.7 states/eV/f.u.
&SYSTEM
  ibrav = 0, nat = 3, ntyp = 3
/
ATOMIC_SPECIES
Mo 95.94 Mo.upf
Ru 101.07 Ru.upf
Sr 87.62 Sr.upf
ATOMIC_POSITIONS crystal
Mo 0.959 0.959 0.041
Ru 0.372 0.372 0.628
Sr 0.669 0.669 0.331
CELL_PARAMETERS angstrom
-3.566 -5.411 1.038
-1.300 -6.333 -1.125
1.603 -1.589 2.359

! SrMoRu2, optimized geometry, DFT GGA-PBE; values from VASP
! energy above the lowest structure with this stoichiometry = 343.8 meV/atom
! energy of formation = 0.670 eV/atom
! density of states at the Fermi level = 1.1 states/eV/f.u.
&SYSTEM
  ibrav = 0, nat = 4, ntyp = 3
/
ATOMIC_SPECIES
Ru 101.07 Ru.upf
Mo 95.94 Mo.upf
Sr 87.62 Sr.upf
ATOMIC_POSITIONS crystal
Ru 0.250 0.250 0.250
Ru 0.750 0.750 0.750
Mo 0.500 0.500 0.500
Sr 0.000 0.000 0.000
CELL_PARAMETERS angstrom
-0.598 -4.079 2.129
-3.129 -3.023 -1.614
1.403 -3.917 -2.054

! SrMoRu2, optimized geometry, DFT GGA-PBE; values from VASP
! energy above the lowest structure with this stoichiometry = 607.9 meV/atom
! energy of formation = 0.934 eV/atom
! density of states at the Fermi level = 4.4 states/eV/f.u.
&SYSTEM
  ibrav = 0, nat = 4, ntyp = 3
/
ATOMIC_SPECIES
Mo 95.94 Mo.upf
Ru 101.07 Ru.upf
Sr 87.62 Sr.upf
ATOMIC_POSITIONS crystal
Mo 0.500 0.500 0.500
Ru 0.000 0.000 0.000
Ru 0.250 0.250 0.250
Sr 0.750 0.750 0.750
CELL_PARAMETERS angstrom
-1.505 4.086 1.544
-2.510 0.224 3.872
1.819 1.835 3.829

! SrMoRu3, optimized geometry, DFT GGA-PBE; values from VASP
! energy above the lowest structure with this stoichiometry = 0.0 meV/atom
! energy of formation = 0.907 eV/atom
! density of states at the Fermi level = 7.5 states/eV/f.u.
&SYSTEM
  ibrav = 0, nat = 5, ntyp = 3
/
ATOMIC_SPECIES
Ru 101.07 Ru.upf
Mo 95.94 Mo.upf
Sr 87.62 Sr.upf
ATOMIC_POSITIONS crystal
Ru 0.000 0.500 0.000
Ru 0.000 0.000 0.500
Ru 0.500 0.000 0.000
Mo 0.000 0.000 0.000
Sr 0.500 0.500 0.500
CELL_PARAMETERS angstrom
-4.249 2.121 0.252
-2.128 -4.153 -0.915
-0.188 -0.930 4.660

! SrMoRu2, optimized geometry, DFT GGA-PBE; values from VASP
! energy above the lowest structure with this stoichiometry = 703.4 meV/atom
! energy of formation = 1.030 eV/atom
! density of states at the Fermi level = 6.3 states/eV/f.u.
&SYSTEM
  ibrav = 0, nat = 4, ntyp = 3
/
ATOMIC_SPECIES
Mo 95.94 Mo.upf
Ru 101.07 Ru.upf
Sr 87.62 Sr.upf
ATOMIC_POSITIONS crystal
Mo 0.000 0.500 0.500
Ru 0.000 0.000 0.000
Ru 0.500 0.500 0.000
Sr 0.500 0.000 0.500
CELL_PARAMETERS angstrom
-0.170 3.081 -0.162
-1.670 0.158 4.765
4.299 0.316 1.496

! SrMo2Ru, optimized geometry, DFT GGA-PBE; values from VASP
! energy above the lowest structure with this stoichiometry = 634.7 meV/atom
! energy of formation = 1.177 eV/atom
! density of states at the Fermi level = 4.0 states/eV/f.u.
&SYSTEM
  ibrav = 0, nat = 4, ntyp = 3
/
ATOMIC_SPECIES
Mo 95.94 Mo.upf
Ru 101.07 Ru.upf
Sr 87.62 Sr.upf
ATOMIC_POSITIONS crystal
Mo 0.000 0.000 0.000
Mo 0.500 0.500 0.000
Ru 0.500 0.000 0.500
Sr 0.000 0.500 0.500
CELL_PARAMETERS angstrom
4.893 0.000 0.000
0.000 4.893 0.000
0.000 0.000 2.988

! SrMo2Ru, optimized geometry, DFT GGA-PBE; values from VASP
! energy above the lowest structure with this stoichiometry = 335.7 meV/atom
! energy of formation = 0.878 eV/atom
! density of states at the Fermi level = 5.8 states/eV/f.u.
&SYSTEM
  ibrav = 0, nat = 4, ntyp = 3
/
ATOMIC_SPECIES
Mo 95.94 Mo.upf
Ru 101.07 Ru.upf
Sr 87.62 Sr.upf
ATOMIC_POSITIONS crystal
Mo 0.000 0.000 0.000
Mo 0.250 0.750 0.500
Ru 0.500 0.500 0.000
Sr 0.750 0.250 0.500
CELL_PARAMETERS angstrom
-1.707 2.524 -3.543
-4.136 -2.121 0.480
1.968 2.140 3.659

! SrMoRu2, optimized geometry, DFT GGA-PBE; values from VASP
! energy above the lowest structure with this stoichiometry = 529.8 meV/atom
! energy of formation = 0.856 eV/atom
! density of states at the Fermi level = 4.5 states/eV/f.u.
&SYSTEM
  ibrav = 0, nat = 4, ntyp = 3
/
ATOMIC_SPECIES
Mo 95.94 Mo.upf
Ru 101.07 Ru.upf
Sr 87.62 Sr.upf
ATOMIC_POSITIONS crystal
Mo 0.737 0.737 0.737
Ru 0.998 0.998 0.998
Ru 0.261 0.261 0.261
Sr 0.504 0.504 0.504
CELL_PARAMETERS angstrom
10.046 -0.001 -0.001
9.635 2.846 -0.001
9.635 1.393 2.482

! SrMoRu2, optimized geometry, DFT GGA-PBE; values from VASP
! energy above the lowest structure with this stoichiometry = 243.1 meV/atom
! energy of formation = 0.569 eV/atom
! density of states at the Fermi level = 4.6 states/eV/f.u.
&SYSTEM
  ibrav = 0, nat = 4, ntyp = 3
/
ATOMIC_SPECIES
Mo 95.94 Mo.upf
Ru 101.07 Ru.upf
Sr 87.62 Sr.upf
ATOMIC_POSITIONS crystal
Mo 0.290 0.290 0.130
Ru 0.996 0.996 0.008
Ru 0.720 0.720 0.850
Sr 0.494 0.494 0.512
CELL_PARAMETERS angstrom
-0.257 -5.071 0.058
1.958 -4.211 -2.055
4.057 -1.486 3.649

! SrMo2Ru, optimized geometry, DFT GGA-PBE; values from VASP
! energy above the lowest structure with this stoichiometry = 82.5 meV/atom
! energy of formation = 0.625 eV/atom
! density of states at the Fermi level = 4.9 states/eV/f.u.
&SYSTEM
  ibrav = 0, nat = 4, ntyp = 3
/
ATOMIC_SPECIES
Mo 95.94 Mo.upf
Ru 101.07 Ru.upf
Sr 87.62 Sr.upf
ATOMIC_POSITIONS crystal
Mo 0.000 0.023 0.080
Mo 0.500 0.223 0.255
Ru 0.000 0.492 0.424
Sr 0.500 0.761 0.741
CELL_PARAMETERS angstrom
-2.950 -2.812 0.861
2.063 -1.840 1.059
0.237 1.759 6.557

! SrMoRu2, optimized geometry, DFT GGA-PBE; values from VASP
! energy above the lowest structure with this stoichiometry = 348.2 meV/atom
! energy of formation = 0.674 eV/atom
! density of states at the Fermi level = 4.8 states/eV/f.u.
&SYSTEM
  ibrav = 0, nat = 4, ntyp = 3
/
ATOMIC_SPECIES
Mo 95.94 Mo.upf
Ru 101.07 Ru.upf
Sr 87.62 Sr.upf
ATOMIC_POSITIONS crystal
Mo 0.500 0.500 0.792
Ru 0.000 0.000 0.022
Ru 0.500 0.500 0.202
Sr 0.000 0.000 0.485
CELL_PARAMETERS angstrom
2.814 0.007 0.000
-0.008 2.814 0.000
0.000 0.000 9.167

! SrMo2Ru, optimized geometry, DFT GGA-PBE; values from VASP
! energy above the lowest structure with this stoichiometry = 464.2 meV/atom
! energy of formation = 1.006 eV/atom
! density of states at the Fermi level = 4.1 states/eV/f.u.
&SYSTEM
  ibrav = 0, nat = 4, ntyp = 3
/
ATOMIC_SPECIES
Ru 101.07 Ru.upf
Mo 95.94 Mo.upf
Sr 87.62 Sr.upf
ATOMIC_POSITIONS crystal
Ru 0.500 0.500 0.500
Mo 0.250 0.250 0.250
Mo 0.750 0.750 0.750
Sr 0.000 0.000 0.000
CELL_PARAMETERS angstrom
0.000 3.280 3.280
3.280 0.000 3.280
3.280 3.280 0.000

! SrMoRu2, optimized geometry, DFT GGA-PBE; values from VASP
! energy above the lowest structure with this stoichiometry = 183.6 meV/atom
! energy of formation = 0.510 eV/atom
! density of states at the Fermi level = 3.5 states/eV/f.u.
&SYSTEM
  ibrav = 0, nat = 4, ntyp = 3
/
ATOMIC_SPECIES
Mo 95.94 Mo.upf
Ru 101.07 Ru.upf
Sr 87.62 Sr.upf
ATOMIC_POSITIONS crystal
Mo 0.250 0.250 0.250
Ru 0.971 0.971 0.095
Ru 0.529 0.529 0.405
Sr 0.750 0.750 0.750
CELL_PARAMETERS angstrom
-4.555 0.051 -1.149
-2.972 -1.568 -3.284
-2.170 -5.331 2.434

! SrMoRu2, optimized geometry, DFT GGA-PBE; values from VASP
! energy above the lowest structure with this stoichiometry = 324.1 meV/atom
! energy of formation = 0.650 eV/atom
! density of states at the Fermi level = 3.0 states/eV/f.u.
&SYSTEM
  ibrav = 0, nat = 4, ntyp = 3
/
ATOMIC_SPECIES
Mo 95.94 Mo.upf
Ru 101.07 Ru.upf
Sr 87.62 Sr.upf
ATOMIC_POSITIONS crystal
Mo 0.750 0.750 0.750
Ru 0.015 0.015 0.015
Ru 0.485 0.485 0.485
Sr 0.250 0.250 0.250
CELL_PARAMETERS angstrom
8.998 -0.142 -0.084
8.493 2.975 -0.084
8.493 1.376 2.640